{
  "formula": "RbAgH2",
  "functional": "SCAN",
  "state": "PBEsol geometry",
  "cell": [[-1.147, -4.007, -1.903], [0.716, -3.909, 2.282], [-3.556, -2.380, 1.639]],
  "species": ["Rb", "Ag", "H", "H"],
  "frac_coords": [[0.000, 0.000, 0.000], [0.500, 0.500, 0.500], [0.750, 0.750, 0.750], [0.250, 0.250, 0.250]],
  "spacegroup": "Fm-3m",
  "m_tot_mub_per_fu": 0.0,
  "total_energy_ev_per_atom": -14.13
}

***

{
  "formula": "YGa3Si",
  "functional": "SCAN",
  "state": "PBEsol geometry",
  "cell": [[4.724, 0.000, 0.000], [0.000, 4.724, 0.000], [0.000, 0.000, 4.724]],
  "species": ["Ga", "Si", "Ga", "Y", "Ga"],
  "frac_coords": [[0.000, 0.000, 0.500], [0.000, 0.000, 0.000], [0.500, 0.000, 0.000], [0.500, 0.500, 0.500], [0.000, 0.500, 0.000]],
  "e_form_raw_ev_per_atom": 0.11,
  "spacegroup": "Pm-3m",
  "m_tot_mub_per_fu": 0.0,
  "total_energy_ev_per_atom": -17.27
}

***

{
  "formula": "Y2SiTe",
  "functional": "SCAN",
  "state": "PBEsol geometry",
  "cell": [[-1.574, 3.225, 2.109], [-3.008, 2.326, -1.694], [-6.363, -2.351, 2.955]],
  "species": ["Te", "Y", "Si", "Y"],
  "frac_coords": [[0.000, 0.000, 0.000], [0.240, 0.240, 0.279], [0.500, 0.500, 0.500], [0.760, 0.760, 0.721]],
  "e_form_raw_ev_per_atom": -1.25,
  "spacegroup": "R-3m",
  "m_tot_mub_per_fu": 0.0,
  "total_energy_ev_per_atom": -26.99
}

***

{
  "formula": "CoAuSCl2",
  "functional": "SCAN",
  "state": "PBEsol geometry",
  "cell": [[-4.206, -0.162, 2.213], [0.053, -4.749, -0.246], [2.318, -0.202, 4.392]],
  "species": ["Co", "Au", "Cl", "S", "Cl"],
  "frac_coords": [[0.500, 0.500, 0.500], [0.000, 0.000, 0.000], [0.000, 0.500, 0.000], [0.000, 0.000, 0.500], [0.500, 0.000, 0.000]],
  "e_form_raw_ev_per_atom": 0.51,
  "spacegroup": "P4/mmm",
  "m_tot_mub_per_fu": 2.4,
  "total_energy_ev_per_atom": -21.90
}

***

{
  "formula": "LiBe4Pt",
  "functional": "SCAN",
  "state": "PBEsol geometry",
  "cell": [[-1.132, -1.923, -3.665], [-2.095, -3.743, 0.099], [-4.132, -0.177, -1.142]],
  "species": ["Be", "Be", "Be", "Be", "Pt", "Li"],
  "frac_coords": [[0.375, 0.876, 0.375], [0.876, 0.375, 0.375], [0.375, 0.375, 0.876], [0.375, 0.375, 0.375], [0.000, 0.000, 0.000], [0.750, 0.750, 0.750]],
  "spacegroup": "F-43m",
  "e_form_kcal_per_mol_atoms": -12.6,
  "m_tot_mub_per_fu": 0.0,
  "total_energy_ev_per_atom": -15.55
}

***

{
  "formula": "BePbC2",
  "functional": "SCAN",
  "state": "PBEsol geometry",
  "cell": [[-3.707, -1.491, 1.258], [-0.805, -1.293, -3.903], [4.631, -3.546, 2.468]],
  "species": ["Pb", "Be", "C", "Pb", "Be", "C", "C", "C"],
  "frac_coords": [[0.000, 0.000, 0.000], [0.750, 0.250, 0.500], [0.625, 0.472, 0.750], [0.250, 0.750, 0.500], [0.500, 0.500, 0.000], [0.528, 0.875, 0.250], [0.125, 0.278, 0.750], [0.722, 0.375, 0.250]],
  "spacegroup": "I-42d",
  "e_form_kcal_per_mol_atoms": 31.9,
  "m_tot_mub_per_fu": 0.0,
  "total_energy_ev_per_atom": -23.70
}

***

{
  "formula": "Zr2P2Pt",
  "functional": "SCAN",
  "state": "PBEsol geometry",
  "cell": [[-4.732, 0.403, 1.528], [1.282, -3.795, -3.173], [0.163, -4.674, 1.735]],
  "species": ["Zr", "P", "Pt", "Zr", "P"],
  "frac_coords": [[0.250, 0.500, 0.250], [0.675, 0.351, 0.325], [0.000, 0.000, 0.000], [0.750, 0.500, 0.750], [0.325, 0.649, 0.675]],
  "spacegroup": "I4/mmm",
  "e_form_kcal_per_mol_atoms": -21.7,
  "m_tot_mub_per_fu": 0.0,
  "total_energy_ev_per_atom": -31.42
}

***

{
  "formula": "CdCuPt2",
  "functional": "SCAN",
  "state": "PBEsol geometry",
  "cell": [[-2.602, 1.153, -0.050], [-1.474, -3.332, -0.121], [-0.171, -0.135, 5.784]],
  "species": ["Pt", "Cd", "Pt", "Cu"],
  "frac_coords": [[0.000, 0.000, 0.731], [0.500, 0.500, 0.000], [0.000, 0.000, 0.269], [0.500, 0.500, 0.500]],
  "spacegroup": "Pmmm",
  "e_form_kcal_per_mol_atoms": -5.3,
  "m_tot_mub_per_fu": 0.0,
  "total_energy_ev_per_atom": -46.73
}

***

{
  "formula": "Fe2NiIr",
  "functional": "SCAN",
  "state": "PBEsol geometry",
  "cell": [[-0.379, 0.129, 2.546], [3.216, -1.448, 0.552], [2.073, 4.630, 0.074]],
  "species": ["Fe", "Ni", "Fe", "Ir"],
  "frac_coords": [[0.000, 0.000, 0.741], [0.500, 0.500, 0.500], [0.000, 0.000, 0.259], [0.500, 0.500, 0.000]],
  "spacegroup": "Pmmm",
  "e_form_kcal_per_mol_atoms": -2.7,
  "m_tot_mub_per_fu": 6.3,
  "total_energy_ev_per_atom": -31.00
}

***

{
  "formula": "Sc3CrH",
  "functional": "SCAN",
  "state": "PBEsol geometry",
  "cell": [[-3.792, -0.633, 2.061], [1.943, -2.810, 2.712], [0.934, 3.276, 2.725]],
  "species": ["Cr", "Sc", "Sc", "Sc", "H"],
  "frac_coords": [[0.500, 0.500, 0.500], [0.000, 0.500, 0.000], [0.000, 0.000, 0.500], [0.500, 0.000, 0.000], [0.000, 0.000, 0.000]],
  "spacegroup": "Pm-3m",
  "m_tot_mub_per_fu": 1.9,
  "total_energy_ev_per_atom": -13.02
}

***

{
  "formula": "Fe2AsP",
  "functional": "SCAN",
  "state": "PBEsol geometry",
  "cell": [[4.161, 0.000, 0.000], [2.080, 3.603, 0.000], [2.080, 1.201, 3.397]],
  "species": ["Fe", "As", "P", "Fe"],
  "frac_coords": [[0.250, 0.250, 0.250], [0.500, 0.500, 0.500], [0.750, 0.750, 0.750], [0.000, 0.000, 0.000]],
  "spacegroup": "F-43m",
  "e_form_kcal_per_mol_atoms": 8.3,
  "m_tot_mub_per_fu": 5.3,
  "total_energy_ev_per_atom": -16.35
}

***

{
  "formula": "NaRhN2",
  "functional": "SCAN",
  "state": "PBEsol geometry",
  "cell": [[3.714, 0.000, 0.000], [1.857, 3.217, 0.000], [1.857, 1.072, 3.033]],
  "species": ["N", "Na", "Rh", "N"],
  "frac_coords": [[0.250, 0.250, 0.250], [0.000, 0.000, 0.000], [0.500, 0.500, 0.500], [0.750, 0.750, 0.750]],
  "e_form_raw_ev_per_atom": 0.84,
  "spacegroup": "Fm-3m",
  "m_tot_mub_per_fu": 0.0,
  "total_energy_ev_per_atom": -13.31
}